# YBeCd (PBE, relaxed)
# Volume ... 60.0 Å³ per cell
# ΔE_f ... 71 meV/atom
# Symmetry ... I4mm, No. 107
# Energy above the lowest structure with this stoichiometry ... 167 meV/atom
data_YBeCd
_space_group_name_H-M_alt 'P 1'
_space_group_IT_number 1
_space_group_name_Hall 'P 1'
_cell_length_a 6.0658
_cell_length_b 6.0658
_cell_length_c 3.2717
_cell_angle_alpha 74.35
_cell_angle_beta 74.35
_cell_angle_gamma 31.29
loop_
_atom_site_label
_atom_site_type_symbol
_atom_site_fract_x
_atom_site_fract_y
_atom_site_fract_z
Y1 Y 0.3478 0.3479 0.6522
Be1 Be 0.0150 0.0148 0.9850
Cd1 Cd 0.6373 0.6373 0.3627


# YBe2Cd2 (PBE, relaxed)
# Volume ... 92.2 Å³ per cell
# ΔE_f ... 73 meV/atom
# Symmetry ... I4/mmm, No. 139
data_YBe2Cd2
_space_group_name_H-M_alt 'P 1'
_space_group_IT_number 1
_space_group_name_Hall 'P 1'
_cell_length_a 4.2752
_cell_length_b 4.2752
_cell_length_c 5.8828
_cell_angle_alpha 68.69
_cell_angle_beta 68.69
_cell_angle_gamma 90.00
loop_
_atom_site_label
_atom_site_type_symbol
_atom_site_fract_x
_atom_site_fract_y
_atom_site_fract_z
Y1 Y 0.0000 0.0000 0.0000
Be1 Be 0.7500 0.2500 0.5000
Be2 Be 0.2500 0.7500 0.5000
Cd1 Cd 0.3644 0.3644 0.2711
Cd2 Cd 0.6356 0.6356 0.7289


# YBe2Cd (PBE, relaxed)
# Volume ... 72.4 Å³ per cell
# ΔE_f ... 47 meV/atom
# Symmetry ... Cm, No. 8
data_YBe2Cd
_space_group_name_H-M_alt 'P 1'
_space_group_IT_number 1
_space_group_name_Hall 'P 1'
_cell_length_a 3.9356
_cell_length_b 3.9356
_cell_length_c 5.8585
_cell_angle_alpha 70.47
_cell_angle_beta 70.47
_cell_angle_gamma 59.87
loop_
_atom_site_label
_atom_site_type_symbol
_atom_site_fract_x
_atom_site_fract_y
_atom_site_fract_z
Y1 Y 0.2674 0.2674 0.1991
Be1 Be 0.0507 0.0507 0.8475
Be2 Be 0.7192 0.7192 0.8424
Cd1 Cd 0.4627 0.4627 0.6110


# YBeCd (PBE, relaxed)
# Volume ... 77.2 Å³ per cell
# ΔE_f ... 649 meV/atom
# Symmetry ... F-43m, No. 216
# Energy above the lowest structure with this stoichiometry ... 745 meV/atom
data_YBeCd
_space_group_name_H-M_alt 'P 1'
_space_group_IT_number 1
_space_group_name_Hall 'P 1'
_cell_length_a 4.7787
_cell_length_b 4.7787
_cell_length_c 4.7787
_cell_angle_alpha 60.00
_cell_angle_beta 60.00
_cell_angle_gamma 60.00
loop_
_atom_site_label
_atom_site_type_symbol
_atom_site_fract_x
_atom_site_fract_y
_atom_site_fract_z
Y1 Y 0.7500 0.7500 0.7500
Be1 Be 0.0000 0.0000 0.0000
Cd1 Cd 0.5000 0.5000 0.5000